This record from the Alexandria database describes a relaxed structure of Na3Sm3GeO8. The functional is PBE-GGA.

a b c (Å): 6.8183 6.8183 6.8183
angles (deg): 60.15 60.15 60.15
Fractional coordinates of all 15 atoms:
Na1 0.0000 0.5000 0.5000
Na2 0.5000 0.0000 0.5000
Na3 0.5000 0.5000 0.0000
Sm1 0.0000 0.0000 0.5000
Sm2 0.0000 0.5000 0.0000
Sm3 0.5000 0.0000 0.0000
Ge1 0.5000 0.5000 0.5000
O1 0.2379 0.2379 0.2379
O2 0.2797 0.7079 0.7079
O3 0.2921 0.2921 0.7203
O4 0.2921 0.7203 0.2921
O5 0.7079 0.2797 0.7079
O6 0.7079 0.7079 0.2797
O7 0.7203 0.2921 0.2921
O8 0.7621 0.7621 0.7621

Output
E_form (uncorrected) (eV per atom): -2.431
D(E_F) (states/eV per cell): 0.00

***

This record from the Alexandria database describes a relaxed structure of Tl3Zn. The functional is PBE-GGA.

a b c (Å): 5.7526 6.4468 6.0174
angles (deg): 90.00 90.00 90.00
Fractional coordinates of all 8 atoms:
Tl1 0.2500 0.0017 0.1532
Tl2 0.2500 0.4983 0.1532
Tl3 0.2500 0.7500 0.6385
Tl4 0.7500 0.2500 0.3615
Tl5 0.7500 0.5017 0.8468
Tl6 0.7500 0.9983 0.8468
Zn1 0.2500 0.2500 0.6633
Zn2 0.7500 0.7500 0.3367

Output
D(E_F) (states/eV per cell): 3.37
Formation energy (eV/atom): 0.14